# 1
Crystalline Ba5Zn4 at its relaxed geometry, computed with GGA-PBE.

Summary:
VASP energy ... -30.5 eV/cell
Distance to the lowest polymorph of the same formula ... 0.056 eV/atom
DOS(E_F) ... 12.7 states/eV/f.u.
Total magnetic moment ... 0.0 μB per formula unit
Formation enthalpy at 0 K ... -57.7 meV per atom

CIF file:
```
data_Ba5Zn4
_space_group_name_H-M_alt 'P 63/m c m'
_space_group_IT_number 193
_space_group_name_Hall '-P 6c 2'
_cell_length_a 10.1183
_cell_length_b 10.1183
_cell_length_c 7.9874
_cell_angle_alpha 90.00
_cell_angle_beta 90.00
_cell_angle_gamma 120.00
loop_
_atom_site_label
_atom_site_type_symbol
_atom_site_fract_x
_atom_site_fract_y
_atom_site_fract_z
_atom_site_occupancy
Ba1 Ba 0.0000 0.2682 0.2500 1
Ba2 Ba 0.3333 0.6667 0.0000 1
Zn1 Zn 0.0000 0.0000 0.0000 1
Zn2 Zn 0.0000 0.3937 0.7500 1
```

# 2
Crystalline SrTa2Re at its relaxed geometry, computed with GGA-PBE.

Summary:
VASP energy ... -67.3 eV/cell
Distance to the lowest polymorph of the same formula ... 0.565 eV/atom
DOS(E_F) ... 5.6 states/eV/f.u.
Total magnetic moment ... 0.0 μB per formula unit
Formation enthalpy at 0 K ... 1041.4 meV per atom

CIF file:
```
data_SrTa2Re
_space_group_name_H-M_alt 'C m m m'
_space_group_IT_number 65
_space_group_name_Hall '-C 2 2'
_cell_length_a 5.838
_cell_length_b 9.872
_cell_length_c 2.765
_cell_angle_alpha 90.00
_cell_angle_beta 90.00
_cell_angle_gamma 90.00
loop_
_atom_site_label
_atom_site_type_symbol
_atom_site_fract_x
_atom_site_fract_y
_atom_site_fract_z
_atom_site_occupancy
Sr1 Sr 0.000 0.000 0.000 1
Ta1 Ta 0.250 0.250 0.500 1
Re1 Re 0.000 0.500 0.000 1
```

# 3
Crystalline Rb2YCrBr6 at its relaxed geometry, computed with GGA-PBE.

Summary:
VASP energy ... -169.6 eV/cell
DOS(E_F) ... 0.0 states/eV/f.u.
Total magnetic moment ... 5.0 μB per formula unit
ΔE_f (raw) ... -1.434 eV/atom

CIF file:
```
data_Rb2YCrBr6
_space_group_name_H-M_alt 'F m -3 m'
_space_group_IT_number 225
_space_group_name_Hall '-F 4 2 3'
_cell_length_a 11.187
_cell_length_b 11.187
_cell_length_c 11.187
_cell_angle_alpha 90.00
_cell_angle_beta 90.00
_cell_angle_gamma 90.00
loop_
_atom_site_label
_atom_site_type_symbol
_atom_site_fract_x
_atom_site_fract_y
_atom_site_fract_z
_atom_site_occupancy
Rb1 Rb 0.250 0.250 0.250 1
Y1 Y 0.000 0.000 0.000 1
Cr1 Cr 0.000 0.000 0.500 1
Br1 Br 0.000 0.000 0.251 1
```

# 4
Crystalline InSnBiF2 at its relaxed geometry, computed with GGA-PBE.

Summary:
VASP energy ... -20.4 eV/cell
DOS(E_F) ... 1.2 states/eV/f.u.
Total magnetic moment ... 0.0 μB per formula unit
ΔE_f (raw) ... -1.214 eV/atom

CIF file:
```
data_InSnBiF2
_space_group_name_H-M_alt 'P 4/m m m'
_space_group_IT_number 123
_space_group_name_Hall '-P 4 2'
_cell_length_a 4.540
_cell_length_b 4.540
_cell_length_c 6.222
_cell_angle_alpha 90.00
_cell_angle_beta 90.00
_cell_angle_gamma 90.00
loop_
_atom_site_label
_atom_site_type_symbol
_atom_site_fract_x
_atom_site_fract_y
_atom_site_fract_z
_atom_site_occupancy
In1 In 0.000 0.000 0.000 1
Sn1 Sn 0.500 0.500 0.500 1
Bi1 Bi 0.500 0.500 0.000 1
F1 F 0.000 0.500 0.500 1
```

# 5
Crystalline LaSc2Ir at its relaxed geometry, computed with GGA-PBE.

Summary:
VASP energy ... -109.6 eV/cell
Distance to the lowest polymorph of the same formula ... 0.256 eV/atom
DOS(E_F) ... 8.5 states/eV/f.u.
Total magnetic moment ... 0.0 μB per formula unit
Formation enthalpy at 0 K ... -235.2 meV per atom

CIF file:
```
data_LaSc2Ir
_space_group_name_H-M_alt 'F m -3 m'
_space_group_IT_number 225
_space_group_name_Hall '-F 4 2 3'
_cell_length_a 6.946
_cell_length_b 6.946
_cell_length_c 6.946
_cell_angle_alpha 90.00
_cell_angle_beta 90.00
_cell_angle_gamma 90.00
loop_
_atom_site_label
_atom_site_type_symbol
_atom_site_fract_x
_atom_site_fract_y
_atom_site_fract_z
_atom_site_occupancy
La1 La 0.000 0.000 0.000 1
Sc1 Sc 0.250 0.250 0.250 1
Ir1 Ir 0.000 0.000 0.500 1
```

# 6
Crystalline CsSmTlI6 at its relaxed geometry, computed with GGA-PBE.

Summary:
VASP energy ... -27.0 eV/cell
DOS(E_F) ... 5.5 states/eV/f.u.
Total magnetic moment ... 0.0 μB per formula unit
ΔE_f (raw) ... -1.082 eV/atom

CIF file:
```
data_CsSmTlI6
_space_group_name_H-M_alt 'P 3 1 2'
_space_group_IT_number 149
_space_group_name_Hall 'P 3 2'
_cell_length_a 8.3015
_cell_length_b 8.3015
_cell_length_c 8.2813
_cell_angle_alpha 90.00
_cell_angle_beta 90.00
_cell_angle_gamma 120.00
loop_
_atom_site_label
_atom_site_type_symbol
_atom_site_fract_x
_atom_site_fract_y
_atom_site_fract_z
_atom_site_occupancy
Cs1 Cs 0.0000 0.0000 0.0000 1
Sm1 Sm 0.3333 0.6667 0.5000 1
Tl1 Tl 0.6667 0.3333 0.5000 1
I1 I 0.0140 0.3969 0.7269 1
```

# 7
Crystalline BaFeBiAs2 at its relaxed geometry, computed with GGA-PBE.

Summary:
VASP energy ... -18.6 eV/cell
DOS(E_F) ... 6.4 states/eV/f.u.
Total magnetic moment ... 3.4 μB per formula unit
Formation enthalpy at 0 K ... 993.5 meV per atom

CIF file:
```
data_BaFeBiAs2
_space_group_name_H-M_alt 'P 4/m m m'
_space_group_IT_number 123
_space_group_name_Hall '-P 4 2'
_cell_length_a 5.492
_cell_length_b 5.492
_cell_length_c 6.542
_cell_angle_alpha 90.00
_cell_angle_beta 90.00
_cell_angle_gamma 90.00
loop_
_atom_site_label
_atom_site_type_symbol
_atom_site_fract_x
_atom_site_fract_y
_atom_site_fract_z
_atom_site_occupancy
Ba1 Ba 0.000 0.000 0.000 1
Fe1 Fe 0.500 0.500 0.000 1
Bi1 Bi 0.000 0.000 0.500 1
As1 As 0.000 0.500 0.500 1
```

# 8
Crystalline NdHoCdSn at its relaxed geometry, computed with GGA-PBE.

Summary:
VASP energy ... -65.1 eV/cell
DOS(E_F) ... 2.7 states/eV/f.u.
Total magnetic moment ... 0.0 μB per formula unit
Formation enthalpy at 0 K ... -505.4 meV per atom

CIF file:
```
data_NdHoCdSn
_space_group_name_H-M_alt 'F -4 3 m'
_space_group_IT_number 216
_space_group_name_Hall 'F -4 2 3'
_cell_length_a 7.575
_cell_length_b 7.575
_cell_length_c 7.575
_cell_angle_alpha 90.00
_cell_angle_beta 90.00
_cell_angle_gamma 90.00
loop_
_atom_site_label
_atom_site_type_symbol
_atom_site_fract_x
_atom_site_fract_y
_atom_site_fract_z
_atom_site_occupancy
Nd1 Nd 0.000 0.000 0.000 1
Ho1 Ho 0.000 0.000 0.500 1
Cd1 Cd 0.250 0.250 0.750 1
Sn1 Sn 0.250 0.250 0.250 1
```

Copy entry 7 word for word.
Crystalline BaFeBiAs2 at its relaxed geometry, computed with GGA-PBE.

Summary:
VASP energy ... -18.6 eV/cell
DOS(E_F) ... 6.4 states/eV/f.u.
Total magnetic moment ... 3.4 μB per formula unit
Formation enthalpy at 0 K ... 993.5 meV per atom

CIF file:
```
data_BaFeBiAs2
_space_group_name_H-M_alt 'P 4/m m m'
_space_group_IT_number 123
_space_group_name_Hall '-P 4 2'
_cell_length_a 5.492
_cell_length_b 5.492
_cell_length_c 6.542
_cell_angle_alpha 90.00
_cell_angle_beta 90.00
_cell_angle_gamma 90.00
loop_
_atom_site_label
_atom_site_type_symbol
_atom_site_fract_x
_atom_site_fract_y
_atom_site_fract_z
_atom_site_occupancy
Ba1 Ba 0.000 0.000 0.000 1
Fe1 Fe 0.500 0.500 0.000 1
Bi1 Bi 0.000 0.000 0.500 1
As1 As 0.000 0.500 0.500 1
```

Q: Which value of total magnetic moment does entry 3 give?
A: 5.0 μB per formula unit

Q: Which formula does entry 1 have?
A: Ba5Zn4